1.
# LiSmTmPt, relaxed, DFT PBE-GGA
# **Final energy**: -4.926 eV/atom
# **Volume**: 88.4 Å³ per cell
# **Calculated density**: 9.788 g/cm3
# **Energy of formation**: -0.64 eV/atom
data_LiSmTmPt
_chemical_formula_sum 'Li1 Sm1 Tm1 Pt1'
_space_group_name_H-M_alt 'P 1'
_space_group_IT_number 1
_space_group_name_Hall 'P 1'
_cell_length_a 5.001
_cell_length_b 5.001
_cell_length_c 5.001
_cell_angle_alpha 60.00
_cell_angle_beta 60.00
_cell_angle_gamma 60.00
loop_
_atom_site_label
_atom_site_fract_x
_atom_site_fract_y
_atom_site_fract_z
_atom_site_occupancy
Sm1 0.500 0.500 0.500 1
Li1 0.250 0.250 0.250 1
Tm1 0.000 0.000 0.000 1
Pt1 0.750 0.750 0.750 1

***

2.
# Os2RuPb, relaxed, DFT PBE-GGA
# **Final energy**: -8.065 eV/atom
# **Volume**: 64.7 Å³ per cell
# **Calculated density**: 17.684 g/cm3
# **Energy of formation**: 0.80 eV/atom
data_Os2RuPb
_chemical_formula_sum 'Os2 Ru1 Pb1'
_space_group_name_H-M_alt 'P 1'
_space_group_IT_number 1
_space_group_name_Hall 'P 1'
_cell_length_a 4.867
_cell_length_b 4.867
_cell_length_c 4.867
_cell_angle_alpha 130.75
_cell_angle_beta 130.75
_cell_angle_gamma 72.21
loop_
_atom_site_label
_atom_site_fract_x
_atom_site_fract_y
_atom_site_fract_z
_atom_site_occupancy
Os1 0.250 0.750 0.500 1
Os2 0.000 0.000 0.000 1
Pb1 0.500 0.500 0.000 1
Ru1 0.750 0.250 0.500 1

***

3.
# BaMg2TiCu, relaxed, DFT PBE-GGA
# **Final energy**: -1.767 eV/atom
# **Volume**: 172.9 Å³ per cell
# **Calculated density**: 2.856 g/cm3
# **Energy of formation**: 1.65 eV/atom
data_BaMg2TiCu
_chemical_formula_sum 'Ba1 Mg2 Ti1 Cu1'
_space_group_name_H-M_alt 'P 1'
_space_group_IT_number 1
_space_group_name_Hall 'P 1'
_cell_length_a 5.790
_cell_length_b 5.157
_cell_length_c 5.790
_cell_angle_alpha 90.00
_cell_angle_beta 90.00
_cell_angle_gamma 90.00
loop_
_atom_site_label
_atom_site_fract_x
_atom_site_fract_y
_atom_site_fract_z
_atom_site_occupancy
Mg1 0.500 0.000 0.000 1
Mg2 0.000 0.000 0.500 1
Ti1 0.500 0.500 0.500 1
Cu1 0.000 0.500 0.000 1
Ba1 0.000 0.000 0.000 1